No. 1
VASP calculation (GGA-PBE) on an optimized crystal structure of LiErTe3Pb.

Calculated values
Uncorrected energy (eV/atom): -4.183
Theoretical density (g cm⁻³): 7.077
Crystal system: orthorhombic
Space-group type: No. 63

Lattice parameters (Å, degrees): 7.561 7.561 11.313 90.00 90.00 146.32
Element x y z (fractional)
Li  0.025  0.975  0.750
Li  0.975  0.025  0.250
Er  0.500  0.500  0.000
Er  0.500  0.500  0.500
Te  0.142  0.858  0.560
Te  0.142  0.858  0.940
Te  0.413  0.587  0.750
Te  0.587  0.413  0.250
Te  0.858  0.142  0.060
Te  0.858  0.142  0.440
Pb  0.259  0.741  0.250
Pb  0.741  0.259  0.750

No. 2
VASP calculation (GGA-PBE) on an optimized crystal structure of Zr2NbTe2.

Calculated values
Uncorrected energy (eV/atom): -6.412
Theoretical density (g cm⁻³): 7.455
Crystal system: tetragonal
Space-group type: No. 139

Lattice parameters (Å, degrees): 7.838 7.838 7.838 150.26 150.26 42.56
Element x y z (fractional)
Zr  0.250  0.750  0.500
Zr  0.750  0.250  0.500
Nb  0.000  0.000  0.000
Te  0.396  0.396  0.000
Te  0.604  0.604  0.000